Density functional theory data (PBE) for a geometry-optimized La2TaIr structure.

Cell and atoms, written as CIF:
```
data_La2TaIr
_chemical_formula_sum 'La4 Ta2 Ir2'
_cell_length_a 3.5530
_cell_length_b 5.2294
_cell_length_c 11.1883
_cell_angle_alpha 90.00
_cell_angle_beta 90.00
_cell_angle_gamma 90.00
_space_group_name_H-M_alt 'I m m 2'
_space_group_IT_number 44
_space_group_name_Hall 'I 2 -2'
loop_
_atom_site_label
_atom_site_type_symbol
_atom_site_fract_x
_atom_site_fract_y
_atom_site_fract_z
_atom_site_occupancy
La1 La 0.0000 0.0000 0.0000 1
La2 La 0.0000 0.5000 0.2070 1
Ta1 Ta 0.0000 0.5000 0.7948 1
Ir1 Ir 0.0000 0.0000 0.4528 1
```

## Properties
Calculated volume in A^3/atom: 26.0
Energy above the most stable polymorph in this dataset in meV/atom: 65
Total DFT energy (no corrections) in Ry/atom: -0.570
ΔE_f in kJ/mol of formula units: -42


Density functional theory data (PBE) for a geometry-optimized LaTa2Ir2 structure.

Cell and atoms, written as CIF:
```
data_LaTa2Ir2
_chemical_formula_sum 'La2 Ta4 Ir4'
_cell_length_a 7.9955
_cell_length_b 7.9955
_cell_length_c 2.9352
_cell_angle_alpha 90.00
_cell_angle_beta 90.00
_cell_angle_gamma 90.00
_space_group_name_H-M_alt 'P 4/m b m'
_space_group_IT_number 127
_space_group_name_Hall '-P 4 2ab'
loop_
_atom_site_label
_atom_site_type_symbol
_atom_site_fract_x
_atom_site_fract_y
_atom_site_fract_z
_atom_site_occupancy
La1 La 0.0000 0.0000 0.0000 1
Ta1 Ta 0.1554 0.3446 0.0000 1
Ir1 Ir 0.1362 0.6362 0.5000 1
```

## Properties
Calculated volume in A^3/atom: 18.8
Energy above the most stable polymorph in this dataset in meV/atom: 251
Total DFT energy (no corrections) in Ry/atom: -0.708
ΔE_f in kJ/mol of formula units: -175


Density functional theory data (PBE) for a geometry-optimized LaTaTcIr2 structure.

Cell and atoms, written as CIF:
```
data_LaTaTcIr2
_chemical_formula_sum 'La1 Ta1 Tc1 Ir2'
_cell_length_a 4.8772
_cell_length_b 4.8772
_cell_length_c 4.7237
_cell_angle_alpha 90.00
_cell_angle_beta 90.00
_cell_angle_gamma 90.00
_space_group_name_H-M_alt 'P 4/m m m'
_space_group_IT_number 123
_space_group_name_Hall '-P 4 2'
loop_
_atom_site_label
_atom_site_type_symbol
_atom_site_fract_x
_atom_site_fract_y
_atom_site_fract_z
_atom_site_occupancy
La1 La 0.0000 0.0000 0.0000 1
Ta1 Ta 0.5000 0.5000 0.0000 1
Tc1 Tc 0.5000 0.5000 0.5000 1
Ir1 Ir 0.0000 0.5000 0.5000 1
```

## Properties
Calculated volume in A^3/atom: 22.5
Total DFT energy (no corrections) in Ry/atom: -0.614
ΔE_f in kJ/mol of formula units: 299